The following is a DFT calculation (GGA-PBE) of a relaxed structure of SrSmAg2.

Geometry as POSCAR:
```
SrSmAg2
1.0
3.8175 0.0000 0.0000
0.0000 3.8175 0.0000
0.0000 0.0000 7.6825
Sr Ag Sm
1 2 1
direct
0.5000 0.5000 0.5000
0.0000 0.0000 0.7854
0.0000 0.0000 0.2146
0.5000 0.5000 0.0000
```

Output
DFT formation energy = -0.27 eV per atom
Energy = -13.20 eV/cell
DOS(E_F) = 3.8 states/eV per cell
Size of the total moment = 0.0 μB/cell
Calculated volume = 112.0 Å³ per cell